[1]
An optimized crystal structure of LaHgPb4, computed with PBE-GGA.

Output
Energy relative to the elements = -0.122 eV per atom
M_tot = 0.000 μB/cell
Uncorrected energy = -3.4653 eV per atom

```
LaHgPb4
1.0
0.000 4.578 4.578
4.578 0.000 4.578
4.578 4.578 0.000
Pb Hg La
4 1 1
Direct
0.374 0.374 0.879
0.374 0.374 0.374
0.879 0.374 0.374
0.374 0.879 0.374
0.750 0.750 0.750
0.000 0.000 0.000
```


[2]
An optimized crystal structure of Sr2TaZn, computed with PBE-GGA.

Output
Energy relative to the elements = 0.854 eV per atom
M_tot = 3.003 μB/cell
Uncorrected energy = -3.2689 eV per atom

```
Sr2TaZn
1.0
6.077 0.013 0.000
2.257 5.642 0.000
-4.167 -2.827 3.402
Zn Sr Ta
1 2 1
Direct
0.750 0.250 0.500
0.250 0.750 0.500
0.000 0.000 0.000
0.500 0.500 0.000
```


[3]
An optimized crystal structure of Sb5C, computed with PBE-GGA.

Output
M_tot = 0.000 μB/cell
Formation energy from raw total energies = 0.63 eV per atom
Uncorrected energy = -4.3465 eV per atom

```
Sb5C
1.0
-7.266 -2.243 3.506
6.025 -2.646 -5.178
1.872 -1.478 2.934
Sb C
5 1
Direct
0.532 0.468 0.500
0.217 0.783 0.500
0.949 0.051 0.500
0.729 0.271 0.000
0.369 0.631 0.000
0.871 0.129 0.000
```


[4]
An optimized crystal structure of Ba2NaTlAu, computed with PBE-GGA.

Output
Energy relative to the elements = -0.270 eV per atom
M_tot = 0.000 μB/cell
Uncorrected energy = -2.4315 eV per atom

```
Ba2NaTlAu
1.0
-1.073 -5.162 3.535
3.568 1.797 3.707
-4.678 3.044 3.026
Ba Na Au Tl
2 1 1 1
Direct
0.000 0.000 0.500
0.500 0.000 0.000
0.000 0.500 0.000
0.000 0.000 0.000
0.500 0.500 0.500
```


[5]
An optimized crystal structure of Na12CeO7, computed with PBE-GGA.

Output
M_tot = 0.000 μB/cell
Formation energy from raw total energies = -1.41 eV per atom
Uncorrected energy = -4.2348 eV per atom

```
Na12CeO7
1.0
-5.840 -1.012 6.491
-3.278 1.763 -6.642
4.094 -6.294 -1.266
Na O Ce
12 7 1
Direct
0.635 0.806 0.071
0.830 0.265 0.194
0.198 0.530 0.134
0.564 0.929 0.735
0.802 0.470 0.866
0.365 0.194 0.929
0.170 0.735 0.806
0.668 0.604 0.470
0.936 0.134 0.604
0.064 0.866 0.396
0.332 0.396 0.530
0.436 0.071 0.265
0.500 0.000 0.000
0.323 0.310 0.210
0.987 0.100 0.310
0.887 0.210 0.900
0.013 0.900 0.690
0.677 0.690 0.790
0.113 0.790 0.100
0.000 0.000 0.000
```


[6]
An optimized crystal structure of Ta2MnAg, computed with PBE-GGA.

Output
Energy relative to the elements = 0.311 eV per atom
M_tot = 2.070 μB/cell
Uncorrected energy = -8.6210 eV per atom

```
Ta2MnAg
1.0
-3.758 1.493 -1.091
-1.492 -3.686 0.095
-0.926 0.474 3.839
Ag Ta Mn
1 2 1
Direct
0.500 0.500 0.000
0.000 0.000 0.000
0.000 0.500 0.500
0.500 0.000 0.500
```


[7]
An optimized crystal structure of KZn2Te, computed with PBE-GGA.

Output
M_tot = 0.000 μB/cell
Formation energy from raw total energies = -0.12 eV per atom
Uncorrected energy = -1.8188 eV per atom

```
KZn2Te
1.0
3.209 0.000 0.000
0.000 4.378 0.000
0.000 0.000 7.852
Te Zn K
1 2 1
Direct
0.500 0.500 0.773
0.500 0.500 0.123
0.000 0.000 0.098
0.000 0.000 0.506
```


[8]
An optimized crystal structure of PmPrAg2Te4, computed with PBE-GGA.

Output
M_tot = 0.000 μB/cell
Formation energy from raw total energies = -0.75 eV per atom
Uncorrected energy = -4.2285 eV per atom

```
PmPrAg2Te4
1.0
7.632 0.000 0.000
3.816 5.831 0.161
3.816 0.638 5.798
Te Ag Pm Pr
4 2 1 1
Direct
0.560 0.429 0.932
0.440 0.068 0.571
0.079 0.932 0.429
0.921 0.571 0.068
0.841 0.659 0.659
0.159 0.341 0.341
0.500 0.500 0.500
0.000 0.000 0.000
```


[9]
An optimized crystal structure of TlFeRu2, computed with PBE-GGA.

Output
Energy relative to the elements = 0.524 eV per atom
M_tot = 3.618 μB/cell
Uncorrected energy = -6.8209 eV per atom

```
TlFeRu2
1.0
-0.682 5.108 -1.246
-4.537 2.282 1.522
4.484 -2.430 1.448
Ru Tl Fe
2 1 1
Direct
0.973 0.973 0.000
0.527 0.527 0.000
0.250 0.750 0.500
0.750 0.250 0.500
```


[10]
An optimized crystal structure of Ba3ZnSn3, computed with PBE-GGA.

Output
Energy relative to the elements = -0.597 eV per atom
M_tot = 0.000 μB/cell
Uncorrected energy = -3.3183 eV per atom

```
Ba3ZnSn3
1.0
5.206 0.000 0.784
2.588 6.153 0.494
0.301 -0.253 15.672
Zn Ba Sn
2 6 6
Direct
0.241 0.917 0.601
0.759 0.083 0.399
0.405 0.270 0.921
0.251 0.267 0.231
0.462 0.691 0.385
0.595 0.730 0.079
0.538 0.309 0.615
0.749 0.733 0.769
0.050 0.137 0.763
0.137 0.261 0.464
0.950 0.863 0.237
0.863 0.739 0.536
0.112 0.853 0.922
0.888 0.147 0.078
```


[11]
An optimized crystal structure of Cs2SiTe, computed with PBE-GGA.

Output
M_tot = 2.000 μB/cell
Formation energy from raw total energies = 0.11 eV per atom
Uncorrected energy = -2.4585 eV per atom

```
Cs2SiTe
1.0
0.000 4.516 4.516
4.516 0.000 4.516
4.516 4.516 0.000
Cs Si Te
2 1 1
Direct
0.750 0.750 0.750
0.250 0.250 0.250
0.000 0.000 0.000
0.500 0.500 0.500
```


[12]
An optimized crystal structure of AgAsPS2, computed with PBE-GGA.

Output
M_tot = 0.000 μB/cell
Formation energy from raw total energies = 1.11 eV per atom
Uncorrected energy = -3.1230 eV per atom

```
AgAsPS2
1.0
-0.143 4.368 1.998
1.656 -1.832 4.123
4.431 0.797 -1.426
S As Ag P
2 1 1 1
Direct
0.500 0.000 0.000
0.000 0.500 0.000
0.500 0.500 0.500
0.000 0.000 0.000
0.000 0.000 0.500
```